Tb2TmTl2Zn2: optimized geometry, PBE-GGA.

Cell: 9.5292 9.5292 9.5292 Å, 28.72 28.72 28.72°
Sites, in units of the cell vectors:
Tb  0.1260  0.1260  0.1260
Tb  0.8740  0.8740  0.8740
Tm  0.0000  0.0000  0.0000
Tl  0.2627  0.2627  0.2627
Tl  0.7373  0.7373  0.7373
Zn  0.3892  0.3892  0.3892
Zn  0.6108  0.6108  0.6108

Values from the calculation:
SG: R-3m (166)
Calculated formation energy (meV/atom): -140.8